(1)
! GGA-PBE TbLu3C2S2, relaxed; values from VASP
&SYSTEM
  ibrav = 0, nat = 8, ntyp = 4
/
ATOMIC_SPECIES
C 12.01 C.upf
Lu 174.97 Lu.upf
S 32.06 S.upf
Tb 158.93 Tb.upf
ATOMIC_POSITIONS angstrom
C 0.162 0.073 -2.094
C -3.989 -4.552 -2.750
Lu 0.550 -2.163 -1.124
Lu -1.894 -4.886 -1.510
Lu -5.050 -5.627 -0.798
S -2.111 -2.353 -0.334
S -4.804 -8.129 -1.971
Tb -7.540 -8.402 -1.192
CELL_PARAMETERS angstrom
-1.047 1.393 -3.193
2.697 -2.438 0.124
-8.407 -9.368 -1.329
! Volume (Å³/atom): 18.13
! Space group: No. 156
! Calculated total energy (eV/atom): -6.911
! Calculated density (Mg/m³): 8.84

***

(2)
! GGA-PBE Lu4TlC2S, relaxed; values from VASP
&SYSTEM
  ibrav = 0, nat = 8, ntyp = 4
/
ATOMIC_SPECIES
C 12.01 C.upf
Lu 174.97 Lu.upf
S 32.06 S.upf
Tl 204.38 Tl.upf
ATOMIC_POSITIONS angstrom
C 2.580 -2.633 0.799
C 7.238 -5.889 6.295
Lu 0.150 -2.574 1.012
Lu 2.615 -1.828 3.085
Lu 5.767 -4.031 6.804
Lu 6.350 -6.908 8.326
S 0.000 0.000 0.000
Tl 3.250 -4.741 4.669
CELL_PARAMETERS angstrom
-2.600 -2.291 0.846
2.377 -0.852 -2.520
8.382 -5.859 9.889
! Volume (Å³/atom): 19.60
! Space group: No. 187
! Calculated total energy (eV/atom): -6.261
! Calculated density (Mg/m³): 10.17

***

> calculated total energy of number 2 (Lu4TlC2S)?

-6.261 eV/atom